1.
Material: Pr3DyTm7
Method: DFT, GGA-PBE
State: relaxed

Geometry as CIF:
```
data_Pr3DyTm7
_cell_length_a 6.4818
_cell_length_b 6.6625
_cell_length_c 8.5568
_cell_angle_alpha 99.52
_cell_angle_beta 98.23
_cell_angle_gamma 95.12
_symmetry_space_group_name_H-M 'P -1'
_symmetry_Int_Tables_number 2
loop_
_symmetry_equiv_pos_as_xyz
'x,y,z'
'-x,-y,-z'
loop_
_atom_site_label
_atom_site_fract_x
_atom_site_fract_y
_atom_site_fract_z
Pr1 0.0000 0.0000 0.0000
Pr2 0.1982 0.5623 0.1642
Dy1 0.5000 0.0000 0.5000
Tm1 0.0128 0.7678 0.5795
Tm2 0.2802 0.2753 0.7862
Tm3 0.4386 0.7918 0.8542
Tm4 0.5000 0.5000 0.5000
```

## Properties
Formation energy from the elements   125 meV per atom
Calculated volume   32.569 A^3/atom
Total magnetization   0.00 μB/atom
VASP energy   -4.44 eV per atom

=====

2.
Material: MoOsRu
Method: DFT, GGA-PBE
State: relaxed

Geometry as CIF:
```
data_MoOsRu
_cell_length_a 5.9481
_cell_length_b 5.9481
_cell_length_c 5.9481
_cell_angle_alpha 90.00
_cell_angle_beta 90.00
_cell_angle_gamma 90.00
_symmetry_space_group_name_H-M 'F -4 3 m'
_symmetry_Int_Tables_number 216
_symmetry_space_group_name_Hall 'F -4 2 3'
loop_
_atom_site_label
_atom_site_fract_x
_atom_site_fract_y
_atom_site_fract_z
Mo1 0.0000 0.0000 0.0000
Os1 0.2500 0.2500 0.2500
Ru1 0.0000 0.0000 0.5000
```

## Properties
Formation energy from the elements   674 meV per atom
Calculated volume   17.537 A^3/atom
Total magnetization   0.00 μB/atom
VASP energy   -9.77 eV per atom

=====

3.
Material: CaBeNiRu2
Method: DFT, GGA-PBE
State: relaxed

Geometry as CIF:
```
data_CaBeNiRu2
_cell_length_a 4.5107
_cell_length_b 4.5107
_cell_length_c 4.8319
_cell_angle_alpha 90.00
_cell_angle_beta 90.00
_cell_angle_gamma 90.00
_symmetry_space_group_name_H-M 'P 4/m m m'
_symmetry_Int_Tables_number 123
_symmetry_space_group_name_Hall '-P 4 2'
loop_
_atom_site_label
_atom_site_fract_x
_atom_site_fract_y
_atom_site_fract_z
Ca1 0.0000 0.0000 0.0000
Be1 0.5000 0.5000 0.0000
Ni1 0.0000 0.0000 0.5000
Ru1 0.0000 0.5000 0.5000
```

## Properties
Formation energy from the elements   1213 meV per atom
Calculated volume   19.663 A^3/atom
Total magnetization   0.58 μB/atom
VASP energy   -4.80 eV per atom

=====

4.
Material: NbGe3Sb
Method: DFT, GGA-PBE
State: relaxed

Geometry as CIF:
```
data_NbGe3Sb
_cell_length_a 5.0579
_cell_length_b 5.0579
_cell_length_c 5.0579
_cell_angle_alpha 90.00
_cell_angle_beta 90.00
_cell_angle_gamma 90.00
_symmetry_space_group_name_H-M 'P m -3 m'
_symmetry_Int_Tables_number 221
_symmetry_space_group_name_Hall '-P 4 2 3'
loop_
_atom_site_label
_atom_site_fract_x
_atom_site_fract_y
_atom_site_fract_z
Nb1 0.0000 0.0000 0.0000
Ge1 0.0000 0.0000 0.5000
Sb1 0.5000 0.5000 0.5000
```

## Properties
Calculated volume   25.879 A^3/atom
Total magnetization   0.00 μB/atom
ΔE_f (raw)   544 meV/atom
VASP energy   -5.06 eV per atom

=====

Q: The highest total magnetization belongs to which entry?
A: CaBeNiRu2